# 1
VASP calculation (GGA-PBE) on a relaxed structure of BAuNF2.

Unit cell a=4.5431 b=4.5431 c=2.7158 alpha=90.00 beta=90.00 gamma=90.00
Each line ends with the local moment (μB).
Element x y z (fractional)
Au 0.5000 0.5000 0.5000  -0.17
F 0.5000 0.0000 0.0000  -0.12
N 0.0000 0.0000 0.5000  -0.42
F 0.0000 0.5000 0.0000  -0.12
B 0.0000 0.0000 0.0000  0.03

Output
* energy relative to the elements, uncorrected: -0.29 eV/atom
* polymorph energy (0 for the lowest one): 0.00 eV per formula unit
* calculated total energy: -4.695 eV per atom
* space-group type: P4/mmm

# 2
VASP calculation (GGA-PBE) on a relaxed structure of BAuNF2.

Unit cell a=4.6568 b=4.6568 c=3.7461 alpha=90.00 beta=90.00 gamma=90.00
Each line ends with the local moment (μB).
Element x y z (fractional)
B 0.5000 0.5000 0.5000  0.01
Au 0.0000 0.0000 0.0000  0.05
F 0.5000 0.0000 0.0000  0.01
N 0.0000 0.0000 0.5000  0.16
F 0.0000 0.5000 0.0000  0.01

Output
* energy relative to the elements, uncorrected: 1.05 eV/atom
* polymorph energy (0 for the lowest one): 6.72 eV per formula unit
* calculated total energy: -3.351 eV per atom
* space-group type: P4/mmm

# 3
VASP calculation (GGA-PBE) on a relaxed structure of BAu2NF.

Unit cell a=5.0048 b=2.7413 c=5.0048 alpha=90.00 beta=90.00 gamma=90.00
Element x y z (fractional)
F 0.5000 0.5000 0.5000
Au 0.0000 0.0000 0.5000
Au 0.5000 0.0000 0.0000
N 0.0000 0.5000 0.0000
B 0.0000 0.0000 0.0000

Output
* energy relative to the elements, uncorrected: 0.13 eV/atom
* calculated total energy: -4.560 eV per atom
* space-group type: P4/mmm

# 4
VASP calculation (GGA-PBE) on a relaxed structure of NaBAuF6.

Unit cell a=4.6691 b=6.8338 c=6.8970 alpha=113.13 beta=106.51 gamma=43.06
Each line ends with the local moment (μB).
Element x y z (fractional)
F 0.8745 0.1340 0.6804  0.06
F 0.3556 0.4906 0.4994  0.00
Na 0.6127 0.6937 0.5001  0.00
F 0.8761 0.9903 0.3188  0.06
B 0.6048 0.1974 0.4999  0.00
F 0.7764 0.4272 0.1546  0.06
Au 0.7751 0.1127 0.0001  0.64
F 0.3550 0.1538 0.5010  0.00
F 0.7696 0.8003 0.8457  0.06

Output
* energy relative to the elements, uncorrected: -2.16 eV/atom
* calculated total energy: -4.660 eV per atom
* space-group type: P1